This record from Alexandria describes an optimized crystal structure of SrAsSe2I. The functional is PBE.

Results
Formation energy from raw total energies, meV per atom: 0
Space group: No. 123

Cell lengths 5.425, 5.425, 5.414 Å; angles 90.00, 90.00, 90.00 degrees
Sites, in units of the cell vectors:
I  0.000  0.000  0.000
Sr  0.500  0.500  0.500
As  0.000  0.000  0.500
Se  0.000  0.500  0.000
Se  0.500  0.000  0.000

This record from Alexandria describes an optimized crystal structure of BPIrAu. The functional is PBE.

Results
Space group: No. 8
Energy of formation from the pure elements, kcal/mol of atoms: 2.70

Cell lengths 2.923, 2.951, 6.760 Å; angles 102.37, 102.48, 89.98 degrees
Sites, in units of the cell vectors:
P  0.135  0.604  0.701
B  0.533  0.505  0.496
Ir  0.964  0.937  0.359
Au  0.292  0.261  0.017

| no. | energy relative to the lowest polymorph listed for this composition (kJ/mol of formula units) | size of the total moment (Bohr magnetons per cell) |
| --- | --- | --- |
| 1 | 0.0 | 0.00 |
| 2 | 32.8 | 0.00 |